Computed, not measured: crystalline YErInPb at its relaxed geometry at the GGA-PBE level of DFT.

```
YErInPb
1.0
-2.4833 2.4833 4.4118
2.4833 -2.4833 4.4118
2.4833 2.4833 -4.4118
Y Er In Pb
1 1 1 1
Direct
0.0000 0.0000 0.0000 Y
0.5000 0.5000 0.0000 Er
0.2500 0.7500 0.5000 In
0.7500 0.2500 0.5000 Pb
```

Computed properties:
SG ... I-4m2, No. 119
ΔH_f (0 K) ... -0.4430 eV/atom